Sr2PaSi2N6: optimized geometry, PBE.

Output
Its total energy is -7.67 eV per atom. As for the total magnetic moment: 0.00 μB/cell. The calculation puts the density of states at the Fermi level at 3.31 states/eV/f.u.

a = 5.8494 Å, b = 5.8494 Å, c = 6.8029 Å
α = 64.54°, β = 64.54°, γ = 60.00°
Last column: nearest neighbours and their distance in Å.
Sites, in units of the cell vectors:
Sr 0.7938 0.7938 0.6185  9 N 2.76-3.02
Sr 0.2062 0.2062 0.3815  9 N 2.76-3.02
Pa 0.0000 0.0000 0.0000  6 N 2.26
Si 0.4171 0.4171 0.7486  3 N 1.67
Si 0.5829 0.5829 0.2514  3 N 1.67
N 0.7478 0.7478 0.2510  1 Si 1.67
N 0.2535 0.7478 0.2510  1 Si 1.67
N 0.7478 0.2535 0.2510  1 Si 1.67
N 0.2522 0.7465 0.7490  1 Si 1.67
N 0.7465 0.2522 0.7490  1 Si 1.67
N 0.2522 0.2522 0.7490  1 Si 1.67


Sr4Pa3SiN8: optimized geometry, PBE.

Output
Its total energy is -7.76 eV per atom. As for the total magnetic moment: 0.00 μB/cell. The calculation puts the density of states at the Fermi level at 4.56 states/eV/f.u.

a = 7.2221 Å, b = 7.2364 Å, c = 7.2225 Å
α = 119.93°, β = 120.00°, γ = 90.00°
Last column: nearest neighbours and their distance in Å.
Sites, in units of the cell vectors:
Sr 0.5000 0.0000 0.0000  6 N 2.62
Sr 0.5000 0.0000 0.5000  6 N 2.73-2.81
Sr 0.0000 0.0000 0.0000  6 N 2.73-2.81
Sr 0.0000 0.0000 0.5000  6 N 2.73-2.81
Pa 0.5000 0.5000 0.0000  6 N 2.32-2.41
Pa 0.5000 0.5000 0.5000  6 N 2.32-2.41
Pa 0.0000 0.5000 0.5000  6 N 2.32-2.41
Si 0.0000 0.5000 0.0000  6 N 2.53-2.54
N 0.2457 0.6974 0.9517  2 Pa 2.32, 1 Si 2.53
N 0.2457 0.6975 0.4915  2 Pa 2.32, 1 Si 2.54
N 0.2657 0.2970 0.5313  3 Pa 2.41
N 0.7061 0.6974 0.9517  2 Pa 2.32, 1 Si 2.53
N 0.2939 0.3026 0.0483  2 Pa 2.32, 1 Si 2.53
N 0.7343 0.7030 0.4687  3 Pa 2.41
N 0.7543 0.3025 0.5085  2 Pa 2.32, 1 Si 2.54
N 0.7543 0.3026 0.0483  2 Pa 2.32, 1 Si 2.53


TbPa2SiN5: optimized geometry, PBE.

Output
Its total energy is -9.10 eV per atom. As for the total magnetic moment: 0.00 μB/cell. The calculation puts the density of states at the Fermi level at 3.99 states/eV/f.u.

a = 5.4938 Å, b = 6.5675 Å, c = 6.5675 Å
α = 90.00°, β = 90.00°, γ = 90.00°
Last column: nearest neighbours and their distance in Å.
Sites, in units of the cell vectors:
Tb 0.0000 0.5000 0.5000  10 N 2.75-2.85
Tb 0.0000 0.0000 0.0000  10 N 2.75-2.85
Pa 0.5000 0.6769 0.1769  4 N 2.24-2.42
Pa 0.5000 0.1769 0.3231  4 N 2.24-2.42
Pa 0.5000 0.8231 0.6769  4 N 2.24-2.42
Pa 0.5000 0.3231 0.8231  4 N 2.24-2.42
Si 0.0000 0.0000 0.5000  4 N 1.83
Si 0.0000 0.5000 0.0000  4 N 1.83
N 0.5000 0.5000 0.5000  4 Pa 2.42
N 0.5000 0.0000 0.0000  4 Pa 2.42
N 0.2347 0.1402 0.6402  1 Si 1.83
N 0.2347 0.8598 0.3598  1 Si 1.83
N 0.2347 0.3598 0.1402  1 Si 1.83
N 0.2347 0.6402 0.8598  1 Si 1.83
N 0.7653 0.1402 0.6402  1 Si 1.83
N 0.7653 0.6402 0.8598  1 Si 1.83
N 0.7653 0.8598 0.3598  1 Si 1.83
N 0.7653 0.3598 0.1402  1 Si 1.83


ThPaSiN: optimized geometry, PBE.

Output
Its total energy is -8.51 eV per atom. As for the total magnetic moment: 0.00 μB/cell. The calculation puts the density of states at the Fermi level at 3.10 states/eV/f.u.

a = 4.2136 Å, b = 4.2136 Å, c = 9.6162 Å
α = 90.00°, β = 90.00°, γ = 90.00°
Last column: nearest neighbours and their distance in Å.
Sites, in units of the cell vectors:
Th 0.0000 0.5000 0.8858  4 N 2.38
Th 0.5000 0.0000 0.1142  4 N 2.38
Pa 0.0000 0.0000 0.5000  4 Si 2.89, 4 Pa 2.98
Pa 0.5000 0.5000 0.5000  4 Si 2.89, 4 Pa 2.98
Si 0.5000 0.0000 0.7061  4 Pa 2.89
Si 0.0000 0.5000 0.2939  4 Pa 2.89
N 0.5000 0.5000 0.0000  4 Th 2.38
N 0.0000 0.0000 0.0000  4 Th 2.38


Pa2TiSiN6: optimized geometry, PBE.

Output
Its total energy is -9.46 eV per atom. As for the total magnetic moment: 0.00 μB/cell.

a = 4.6369 Å, b = 5.1770 Å, c = 5.1770 Å
α = 90.00°, β = 90.00°, γ = 90.00°
Last column: nearest neighbours and their distance in Å.
Sites, in units of the cell vectors:
Pa 0.0052 0.5000 0.0000  4 N 2.26
Pa 0.0052 0.0000 0.5000  4 N 2.26
Ti 0.5792 0.5000 0.5000  5 N 1.86-2.01
Si 0.5903 0.0000 0.0000  5 N 1.74-1.86
N 0.7188 0.2405 0.2405  1 Si 1.86, 1 Ti 2.01
N 0.7188 0.2405 0.7595  1 Si 1.86, 1 Ti 2.01
N 0.1775 0.5000 0.5000  1 Ti 1.86
N 0.2142 0.0000 0.0000  1 Si 1.74
N 0.7188 0.7595 0.7595  1 Si 1.86, 1 Ti 2.01
N 0.7188 0.7595 0.2405  1 Si 1.86, 1 Ti 2.01


Pa2VSiN6: optimized geometry, PBE.

Output
Its total energy is -9.43 eV per atom. As for the total magnetic moment: 0.95 μB/cell. The calculation puts the density of states at the Fermi level at 5.53 states/eV/f.u.

a = 4.5452 Å, b = 5.1691 Å, c = 5.1691 Å
α = 90.00°, β = 90.00°, γ = 90.00°
Last column: nearest neighbours and their distance in Å.
Sites, in units of the cell vectors:
Pa 0.0093 0.5000 0.0000  4 N 2.27
Pa 0.0093 0.0000 0.5000  4 N 2.27
V 0.5809 0.5000 0.5000  1 N 1.76
Si 0.5890 0.0000 0.0000  5 N 1.73-1.87
N 0.7143 0.2433 0.2433  1 Si 1.87, 1 V 1.97
N 0.7143 0.2433 0.7567  1 Si 1.87, 1 V 1.97
N 0.1940 0.5000 0.5000  1 V 1.76
N 0.2073 0.0000 0.0000  1 Si 1.73
N 0.7143 0.7567 0.7567  1 Si 1.87, 1 V 1.97
N 0.7143 0.7567 0.2433  1 Si 1.87, 1 V 1.97